## RbMoO3 (GGA+U)

Data for an optimized crystal structure of RbMoO3.

The structure in extended XYZ format:
```
10
Lattice="6.878 0.000 0.000 0.000 4.157 0.000 -3.205 0.000 7.580" Properties=species:S:1:pos:R:3 pbc="T T T"
Rb -0.514 1.039 2.229
Rb 4.187 3.118 5.351
Mo 0.621 1.039 6.410
Mo 3.052 3.118 1.171
O -0.625 1.039 5.110
O 1.289 3.118 1.472
O 0.455 3.118 6.796
O 3.219 1.039 0.784
O 2.384 1.039 6.108
O 4.298 3.118 2.471
```

Output
The calculation puts the volume at 217 Å³/cell. The space group is P2_1/m, No. 11. For the density, the calculation gives 3.515 Mg/m³. For the total magnetization, the calculation gives 0.200 μB per atom. For the energy, the calculation gives -6.348 eV/atom.